LaIn4Ag2Pd after structural relaxation, computed with PBE.

Geometry as CIF:
```
data_LaIn4Ag2Pd
_chemical_formula_sum 'La3 In12 Ag6 Pd3'
_cell_length_a 4.7320
_cell_length_b 4.7320
_cell_length_c 28.3385
_cell_angle_alpha 90.00
_cell_angle_beta 90.00
_cell_angle_gamma 120.00
_symmetry_space_group_name_H-M 'R -3 m'
_symmetry_Int_Tables_number 166
_symmetry_space_group_name_Hall '-R 3 2"'
loop_
_atom_site_label
_atom_site_fract_x
_atom_site_fract_y
_atom_site_fract_z
La1 0.0000 0.0000 0.0000
In1 0.0000 0.0000 0.1319
In2 0.0000 0.0000 0.3981
Ag1 0.0000 0.0000 0.2442
Pd1 0.0000 0.0000 0.5000
```

Computed properties:
DOS(E_F) = 0.406 states/eV/atom
M_tot = 0.00 μB/f.u.
ΔE_f = -0.3041 eV/atom

CaSmGdHo after structural relaxation, computed with PBE.

Geometry as CIF:
```
data_CaSmGdHo
_chemical_formula_sum 'Ca4 Sm4 Gd4 Ho4'
_cell_length_a 8.1704
_cell_length_b 8.1704
_cell_length_c 8.1704
_cell_angle_alpha 90.00
_cell_angle_beta 90.00
_cell_angle_gamma 90.00
_symmetry_space_group_name_H-M 'F -4 3 m'
_symmetry_Int_Tables_number 216
_symmetry_space_group_name_Hall 'F -4 2 3'
loop_
_atom_site_label
_atom_site_fract_x
_atom_site_fract_y
_atom_site_fract_z
Ca1 0.0000 0.0000 0.0000
Sm1 0.2500 0.2500 0.7500
Gd1 0.2500 0.2500 0.2500
Ho1 0.0000 0.0000 0.5000
```

Computed properties:
DOS(E_F) = 1.707 states/eV/atom
M_tot = 7.62 μB/f.u.
ΔE_f = 0.1352 eV/atom

Mg2GaAu after structural relaxation, computed with PBE.

Geometry as CIF:
```
data_Mg2GaAu
_chemical_formula_sum 'Mg6 Ga3 Au3'
_cell_length_a 3.2284
_cell_length_b 3.2284
_cell_length_c 26.1108
_cell_angle_alpha 90.00
_cell_angle_beta 90.00
_cell_angle_gamma 120.00
_symmetry_space_group_name_H-M 'R 3 m'
_symmetry_Int_Tables_number 160
_symmetry_space_group_name_Hall 'R 3 -2"'
loop_
_atom_site_label
_atom_site_fract_x
_atom_site_fract_y
_atom_site_fract_z
Mg1 0.0000 0.0000 0.0000
Mg2 0.0000 0.0000 0.1725
Ga1 0.0000 0.0000 0.7528
Au1 0.0000 0.0000 0.5863
```

Computed properties:
DOS(E_F) = 0.470 states/eV/atom
M_tot = 0.00 μB/f.u.
ΔE_f = -0.2484 eV/atom